The following is a GGA+U calculation of a geometry-optimized MnCdF2 structure, from Alexandria.

The calculation puts the offset from the most stable computed form at 108.3 meV per atom. The density of states at the Fermi level is 0.000 states/eV per cell. The calculation puts the total energy at -76.38 eV for the cell shown. For the total magnetic moment, the calculation gives 5.00 μB/f.u.

Lattice parameters (Å, degrees): 6.219 6.219 10.121 90.00 90.00 90.00
Fractional coordinates of all 16 atoms:
Mn1 0.000 0.000 0.000
Mn2 0.000 0.500 0.250
Mn3 0.500 0.000 0.750
Mn4 0.500 0.500 0.500
Cd1 0.000 0.000 0.500
Cd2 0.000 0.500 0.750
Cd3 0.500 0.000 0.250
Cd4 0.500 0.500 0.000
F1 0.035 0.250 0.125
F2 0.250 0.535 0.375
F3 0.250 0.965 0.875
F4 0.465 0.250 0.625
F5 0.535 0.750 0.625
F6 0.750 0.035 0.875
F7 0.750 0.465 0.375
F8 0.965 0.750 0.125